DFT (PBE) results for Ag7Au4 after structural relaxation.

## Properties
energy relative to the elements = 43 meV per atom
crystal system = hexagonal
magnetization = 0.000 Bohr magnetons per cell

a b c (Å): 2.8605 9.2015 9.2014
angles (deg): 120.00 90.00 90.00
Element x y z (fractional)
1 Ag 0.5000 0.6465 0.8232
2 Ag 0.5000 0.1768 0.3535
3 Ag 0.0000 0.9688 0.4844
4 Ag 0.0000 0.5156 0.0312
5 Ag 0.0000 0.0000 0.0000
6 Ag 0.5000 0.1768 0.8232
7 Ag 0.0000 0.5156 0.4844
8 Au 0.5000 0.3413 0.1706
9 Au 0.5000 0.8294 0.1706
10 Au 0.0000 0.3333 0.6667
11 Au 0.5000 0.8294 0.6587